Computed, not measured: a relaxed LaTb2O3 crystal at the PBE level of DFT.

Structure (CIF):
```
data_LaTb2O3
_symmetry_space_group_name_H-M 'P 1'
_symmetry_Int_Tables_number 1
_symmetry_space_group_name_Hall 'P 1'
_cell_length_a 3.4756
_cell_length_b 3.4756
_cell_length_c 8.5944
_cell_angle_alpha 90.00
_cell_angle_beta 90.00
_cell_angle_gamma 120.00
loop_
_atom_site_label
_atom_site_type_symbol
_atom_site_fract_x
_atom_site_fract_y
_atom_site_fract_z
O1 O 0.3333 0.6667 0.1998
O2 O 0.6667 0.3333 0.8002
O3 O 0.0000 0.0000 0.5000
Tb1 Tb 0.6667 0.3333 0.3363
Tb2 Tb 0.3333 0.6667 0.6637
La1 La 0.0000 0.0000 0.0000
```

Output
VASP energy = -7.6863 eV/atom
Total magnetic moment = 0.00 μB per atom